DFT (GGA-PBE) results for a relaxed structure of CsErAlTe3.

a = 11.9658 Å, b = 5.1222 Å, c = 13.6768 Å
α = 90.00°, β = 90.00°, γ = 90.00°
Atoms (fractional coordinates):
Cs1 0.1787 0.2500 0.0085
Cs2 0.3213 0.7500 0.5085
Cs3 0.6787 0.2500 0.4915
Cs4 0.8213 0.7500 0.9915
Er1 0.0264 0.2500 0.3252
Er2 0.4736 0.7500 0.8252
Er3 0.5264 0.2500 0.1748
Er4 0.9736 0.7500 0.6748
Al1 0.2246 0.2500 0.7246
Al2 0.2754 0.7500 0.2246
Al3 0.7246 0.2500 0.7754
Al4 0.7754 0.7500 0.2754
Te1 0.0538 0.7500 0.1861
Te2 0.0847 0.2500 0.5638
Te3 0.2066 0.7500 0.7965
Te4 0.2934 0.2500 0.2965
Te5 0.4153 0.7500 0.0638
Te6 0.4462 0.2500 0.6861
Te7 0.5538 0.7500 0.3139
Te8 0.5847 0.2500 0.9362
Te9 0.7066 0.7500 0.7035
Te10 0.7934 0.2500 0.2035
Te11 0.9153 0.7500 0.4362
Te12 0.9462 0.2500 0.8139

Output
Total magnetic moment ... 0.0012 μB/atom
Energy above the most stable polymorph in this dataset ... 1.34 kcal/mol of atoms
Crystal system ... orthorhombic
VASP energy ... -95.54 eV per cell